Record 1
Entry from the Alexandria database: a geometry-optimized ScMo4Au structure (GGA-PBE).

Density of states at the Fermi level: 1.21 states/eV/atom
M_tot: 0.000 μB per formula unit
Space group: F-43m, No. 216
E_form: 194 meV/atom

a = 5.303 Å, b = 5.303 Å, c = 5.303 Å
α = 60.00°, β = 60.00°, γ = 60.00°
Positions (direct):
Sc1 0.000 0.000 0.000
Mo1 0.375 0.375 0.375
Mo2 0.375 0.375 0.876
Mo3 0.375 0.876 0.375
Mo4 0.876 0.375 0.375
Au1 0.750 0.750 0.750

---

Record 2
Entry from the Alexandria database: a geometry-optimized ScMo2Au structure (GGA-PBE).

Density of states at the Fermi level: 0.78 states/eV/atom
M_tot: 0.000 μB per formula unit
Space group: Cmmm, No. 65
E_form: 179 meV/atom

a = 3.894 Å, b = 3.919 Å, c = 9.113 Å
α = 90.00°, β = 90.00°, γ = 90.00°
Positions (direct):
Sc1 0.000 0.000 0.000
Sc2 0.500 0.500 0.000
Mo1 0.000 0.500 0.258
Mo2 0.000 0.500 0.742
Mo3 0.500 0.000 0.258
Mo4 0.500 0.000 0.742
Au1 0.000 0.000 0.500
Au2 0.500 0.500 0.500

---

Record 3
Entry from the Alexandria database: a geometry-optimized ScMo2Au structure (GGA-PBE).

Density of states at the Fermi level: 0.99 states/eV/atom
M_tot: 0.000 μB per formula unit
Space group: Immm, No. 71
E_form: 47 meV/atom

a = 3.508 Å, b = 4.249 Å, c = 9.312 Å
α = 90.00°, β = 90.00°, γ = 90.00°
Positions (direct):
Sc1 0.000 0.000 0.000
Sc2 0.500 0.500 0.500
Mo1 0.000 0.500 0.255
Mo2 0.000 0.500 0.745
Mo3 0.500 0.000 0.245
Mo4 0.500 0.000 0.755
Au1 0.000 0.000 0.500
Au2 0.500 0.500 0.000

---

Record 4
Entry from the Alexandria database: a geometry-optimized ScMo2Au structure (GGA-PBE).

Density of states at the Fermi level: 0.87 states/eV/atom
M_tot: 0.000 μB per formula unit
Space group: Cmmm, No. 65
E_form: 164 meV/atom

a = 5.509 Å, b = 9.064 Å, c = 2.772 Å
α = 90.00°, β = 90.00°, γ = 90.00°
Positions (direct):
Sc1 0.000 0.000 0.000
Sc2 0.500 0.500 0.000
Mo1 0.250 0.250 0.500
Mo2 0.250 0.750 0.500
Mo3 0.750 0.250 0.500
Mo4 0.750 0.750 0.500
Au1 0.000 0.500 0.000
Au2 0.500 0.000 0.000

---

Record 5
Entry from the Alexandria database: a geometry-optimized ScMo2Au2 structure (GGA-PBE).

Density of states at the Fermi level: 0.96 states/eV/atom
M_tot: 0.000 μB per formula unit
Space group: I4/mmm, No. 139
E_form: 273 meV/atom

a = 4.193 Å, b = 4.193 Å, c = 11.397 Å
α = 90.00°, β = 90.00°, γ = 90.00°
Positions (direct):
Sc1 0.000 0.000 0.000
Sc2 0.500 0.500 0.500
Mo1 0.000 0.000 0.404
Mo2 0.000 0.000 0.596
Mo3 0.500 0.500 0.096
Mo4 0.500 0.500 0.904
Au1 0.000 0.500 0.250
Au2 0.000 0.500 0.750
Au3 0.500 0.000 0.250
Au4 0.500 0.000 0.750

---

Record 6
Entry from the Alexandria database: a geometry-optimized ScMo2Au structure (GGA-PBE).

Density of states at the Fermi level: 0.94 states/eV/atom
M_tot: 0.000 μB per formula unit
Space group: Imm2, No. 44
E_form: 16 meV/atom

a = 3.475 Å, b = 4.670 Å, c = 8.669 Å
α = 90.00°, β = 90.00°, γ = 90.00°
Positions (direct):
Sc1 0.000 0.000 0.000
Sc2 0.500 0.500 0.500
Mo1 0.000 0.000 0.536
Mo2 0.000 0.500 0.244
Mo3 0.500 0.000 0.744
Mo4 0.500 0.500 0.036
Au1 0.000 0.500 0.766
Au2 0.500 0.000 0.266

---

Record 7
Entry from the Alexandria database: a geometry-optimized ScMo2Au structure (GGA-PBE).

Density of states at the Fermi level: 0.78 states/eV/atom
M_tot: 0.000 μB per formula unit
Space group: P2/m, No. 10
E_form: 87 meV/atom

a = 2.833 Å, b = 4.927 Å, c = 5.100 Å
α = 90.00°, β = 97.82°, γ = 90.00°
Positions (direct):
Sc1 0.000 0.000 0.000
Mo1 0.318 0.500 0.766
Mo2 0.682 0.500 0.234
Au1 0.500 0.000 0.500

---

Record 8
Entry from the Alexandria database: a geometry-optimized ScMo2Au structure (GGA-PBE).

Density of states at the Fermi level: 0.87 states/eV/atom
M_tot: 0.000 μB per formula unit
Space group: I-42d, No. 122
E_form: 596 meV/atom

a = 7.678 Å, b = 7.678 Å, c = 5.200 Å
α = 90.00°, β = 90.00°, γ = 90.00°
Positions (direct):
Sc1 0.000 0.000 0.000
Sc2 0.000 0.500 0.250
Sc3 0.500 0.000 0.750
Sc4 0.500 0.500 0.500
Mo1 0.226 0.250 0.625
Mo2 0.250 0.726 0.875
Mo3 0.250 0.774 0.375
Mo4 0.274 0.250 0.125
Mo5 0.726 0.750 0.125
Mo6 0.750 0.226 0.375
Mo7 0.750 0.274 0.875
Mo8 0.774 0.750 0.625
Au1 0.000 0.000 0.500
Au2 0.000 0.500 0.750
Au3 0.500 0.000 0.250
Au4 0.500 0.500 0.000

---

Record 9
Entry from the Alexandria database: a geometry-optimized MoAu3Se structure (GGA-PBE).

Density of states at the Fermi level: 0.99 states/eV/atom
M_tot: 0.000 μB per formula unit
Space group: Pm-3m, No. 221
Raw formation energy: 1341.1 meV/atom

a = 5.042 Å, b = 5.042 Å, c = 5.042 Å
α = 90.00°, β = 90.00°, γ = 90.00°
Positions (direct):
Mo1 0.000 0.000 0.000
Au1 0.000 0.000 0.500
Au2 0.000 0.500 0.000
Au3 0.500 0.000 0.000
Se1 0.500 0.500 0.500

---

Record 10
Entry from the Alexandria database: a geometry-optimized Mo2AuSe structure (GGA-PBE).

Density of states at the Fermi level: 0.89 states/eV/atom
M_tot: 0.000 μB per formula unit
Space group: P2/m, No. 10
Raw formation energy: 387.6 meV/atom

a = 3.049 Å, b = 4.040 Å, c = 5.652 Å
α = 90.00°, β = 105.04°, γ = 90.00°
Positions (direct):
Mo1 0.108 0.000 0.255
Mo2 0.892 0.000 0.745
Au1 0.500 0.500 0.000
Se1 0.000 0.500 0.500

---

Record 11
Entry from the Alexandria database: a geometry-optimized MoAu2Se structure (GGA-PBE).

Density of states at the Fermi level: 1.17 states/eV/atom
M_tot: 0.311 μB per formula unit
Space group: R-3m, No. 166
Raw formation energy: 386.1 meV/atom

a = 2.968 Å, b = 2.968 Å, c = 28.588 Å
α = 90.00°, β = 90.00°, γ = 120.00°
Positions (direct):
Mo1 0.000 0.000 0.000
Mo2 0.333 0.667 0.667
Mo3 0.667 0.333 0.333
Au1 0.000 0.000 0.255
Au2 0.000 0.000 0.745
Au3 0.333 0.667 0.412
Au4 0.333 0.667 0.921
Au5 0.667 0.333 0.079
Au6 0.667 0.333 0.588
Se1 0.000 0.000 0.500
Se2 0.333 0.667 0.167
Se3 0.667 0.333 0.833

---

Record 12
Entry from the Alexandria database: a geometry-optimized Mo2AuSe structure (GGA-PBE).

Density of states at the Fermi level: 0.72 states/eV/atom
M_tot: 0.000 μB per formula unit
Space group: P4/mmm, No. 123
Raw formation energy: 215.2 meV/atom

a = 3.078 Å, b = 3.078 Å, c = 6.802 Å
α = 90.00°, β = 90.00°, γ = 90.00°
Positions (direct):
Mo1 0.000 0.000 0.224
Mo2 0.000 0.000 0.776
Au1 0.500 0.500 0.500
Se1 0.500 0.500 0.000